The following is a DFT calculation (PBE) of a geometry-optimized La2Pr7Tm4 structure.

formation energy: 0.187 eV per atom
uncorrected energy: -4.52 eV per atom
magnetic moment: 0.00 μB per cell
theoretical density: 7140 kg/m3

Cell: 6.2785 6.2785 13.2163 Å, 90.00 90.00 120.00°
Closest atoms and distances in Å follow each position.
Space group P-31m (No. 162)
Unique sites:
1 La 0.3333 0.6667 0.0000 x2  9 Pr 3.61-3.62, 3 La 3.62
2 Pr 0.0000 0.0000 0.0000 x1  6 La 3.62, 6 Pr 3.83
3 Pr 0.0000 0.3744 0.2289 x6  1 Tm 3.20, 4 Pr 3.42
4 Tm 0.0000 0.0000 0.3929 x2  1 Tm 2.83
5 Tm 0.3333 0.6667 0.5000 x2  9 Tm 3.62-3.89

---

The following is a DFT calculation (PBE) of a geometry-optimized La6Pr12Tm structure.

polymorph energy (0 for the lowest one): 0 meV/atom
formation energy: 0.108 eV per atom
uncorrected energy: -4.70 eV per atom
magnetic moment: 0.00 μB per cell
theoretical density: 6444 kg/m3

Cell: 12.4825 12.4825 15.4291 Å, 90.00 90.00 120.00°
Closest atoms and distances in Å follow each position.
Space group R-3 (No. 148, hexagonal axes)
Unique sites:
1 La 0.0142 0.5924 0.1875 x18  7 Pr 3.49-3.79, 1 Tm 3.62, 2 La 3.67
2 Pr 0.0062 0.8326 0.3114 x18  4 Pr 3.57-3.80, 4 La 3.59-3.79, 1 Tm 3.61
3 Pr 0.0512 0.1985 0.9166 x18  4 Pr 3.41-3.80, 3 La 3.49-3.53
4 Tm 0.0000 0.0000 0.5000 x3  6 Pr 3.61, 6 La 3.62

---

The following is a DFT calculation (PBE) of a geometry-optimized La2Pr8Tm3 structure.

polymorph energy (0 for the lowest one): 0 meV/atom
formation energy: 0.153 eV per atom
uncorrected energy: -4.58 eV per atom
magnetic moment: 0.01 μB per cell
theoretical density: 6921 kg/m3

Cell: 13.5758 11.9164 6.1993 Å, 90.00 113.82 90.00°
Closest atoms and distances in Å follow each position.
Space group C2/m (No. 12)
Unique sites:
1 La 0.1876 0.0000 0.3396 x4  6 Pr 3.26-3.52
2 Pr 0.0855 0.0000 0.7646 x4  4 Pr 3.16-3.52, 3 La 3.26-3.50
3 Pr 0.1375 0.5000 0.1122 x4  1 La 3.27, 2 Pr 3.42-3.52, 4 Tm 3.49-3.59
4 Pr 0.1598 0.2608 0.6540 x8  2 Pr 3.42-3.67, 3 Tm 3.47-3.76, 2 La 3.52-3.77
5 Tm 0.0000 0.2381 0.0000 x4  8 Pr 3.56-3.76, 2 La 3.83
6 Tm 0.0000 0.5000 0.5000 x2  8 Pr 3.47-3.59

---

The following is a DFT calculation (PBE) of a geometry-optimized La3Pr7Tm structure.

polymorph energy (0 for the lowest one): 0 meV/atom
formation energy: 0.216 eV per atom
uncorrected energy: -4.58 eV per atom
magnetic moment: 0.00 μB per cell
theoretical density: 6377 kg/m3

Cell: 11.9221 10.4238 6.6045 Å, 90.00 94.05 90.00°
Closest atoms and distances in Å follow each position.
Space group C2/m (No. 12)
Unique sites:
1 La 0.0000 0.0000 0.0000 x2  6 Pr 3.53-3.82, 4 La 3.77
2 La 0.0000 0.1736 0.5000 x4  7 Pr 3.40-3.66, 3 La 3.62-3.77
3 Pr 0.0000 0.5000 0.5000 x2  2 Tm 3.30, 2 La 3.40, 2 Pr 3.50
4 Pr 0.2396 0.0000 0.7152 x4  5 Pr 3.44-3.65, 1 Tm 3.51, 3 La 3.53-3.59
5 Pr 0.2398 0.3282 0.7624 x8  5 Pr 3.44-3.70, 3 La 3.62-3.82, 1 Tm 3.81
6 Tm 0.0000 0.5000 0.0000 x2  4 Pr 3.30-3.51